VASP calculation (PBE) on a geometry-optimized ZrPdBr2Cl structure.

a = 4.992 Å, b = 5.392 Å, c = 4.992 Å
α = 90.00°, β = 90.00°, γ = 90.00°
Site moments in Bohr magnetons follow the coordinates.
Positions (direct):
Cl  0.500  0.500  0.500  -0.02
Br  0.000  0.000  0.500  -0.02
Br  0.500  0.000  0.000  -0.01
Zr  0.000  0.500  0.000  1.05
Pd  0.000  0.000  0.000  -0.03

Properties
Space-group type: P4/mmm
Calculated volume: 26.87 Å³ per atom

VASP calculation (PBE) on a geometry-optimized ZrPd2BrCl structure.

a = 4.747 Å, b = 5.188 Å, c = 4.747 Å
α = 90.00°, β = 90.00°, γ = 90.00°
Site moments in Bohr magnetons follow the coordinates.
Positions (direct):
Pd  0.000  0.000  0.500  0.03
Pd  0.500  0.000  0.000  0.00
Cl  0.500  0.500  0.500  0.03
Zr  0.000  0.500  0.000  0.65
Br  0.000  0.000  0.000  -0.01

Properties
Space-group type: P4/mmm
Calculated volume: 23.38 Å³ per atom
Energy above the most stable polymorph in this dataset: 0.0 meV per atom

VASP calculation (PBE) on a geometry-optimized ZrPd2BrCl structure.

a = 4.625 Å, b = 6.035 Å, c = 4.625 Å
α = 90.00°, β = 90.00°, γ = 90.00°
Site moments in Bohr magnetons follow the coordinates.
Positions (direct):
Cl  0.000  0.500  0.000  0.00
Pd  0.000  0.000  0.500  -0.04
Pd  0.500  0.000  0.000  -0.08
Zr  0.500  0.500  0.500  1.37
Br  0.000  0.000  0.000  -0.01

Properties
Space-group type: P4/mmm
Calculated volume: 25.82 Å³ per atom
Energy above the most stable polymorph in this dataset: 238.7 meV per atom

VASP calculation (PBE) on a geometry-optimized Pm2BrCl structure.

a = 3.627 Å, b = 3.627 Å, c = 9.315 Å
α = 78.77°, β = 78.77°, γ = 60.00°
Positions (direct):
Br  0.667  0.667  0.999
Pm  0.087  0.087  0.739
Pm  0.246  0.246  0.261
Cl  0.500  0.500  0.500

Properties
Space-group type: R3m
Calculated volume: 25.85 Å³ per atom
Energy above the most stable polymorph in this dataset: 0.0 meV per atom

VASP calculation (PBE) on a geometry-optimized PmBr2Cl8 structure.

a = 6.584 Å, b = 8.127 Å, c = 8.127 Å
α = 64.16°, β = 93.74°, γ = 93.74°
Site moments in Bohr magnetons follow the coordinates.
Positions (direct):
Br  0.552  0.754  0.754  0.43
Br  0.448  0.246  0.246  0.43
Cl  0.234  0.313  0.863  0.26
Cl  0.802  0.657  0.657  0.18
Cl  0.198  0.343  0.343  0.18
Cl  0.766  0.137  0.687  0.26
Cl  0.766  0.687  0.137  0.26
Cl  0.228  0.838  0.838  0.10
Cl  0.772  0.162  0.162  0.10
Cl  0.234  0.863  0.313  0.26
Pm  0.000  0.000  0.000  -0.01

Properties
Space-group type: C2/m
Calculated volume: 35.48 Å³ per atom

VASP calculation (PBE) on a geometry-optimized PmBrCl2 structure.

a = 4.007 Å, b = 7.318 Å, c = 8.734 Å
α = 90.00°, β = 90.00°, γ = 105.86°
Positions (direct):
Pm  0.740  0.480  0.750
Pm  0.260  0.520  0.250
Br  0.908  0.816  0.250
Br  0.092  0.184  0.750
Cl  0.334  0.668  0.930
Cl  0.666  0.332  0.070
Cl  0.334  0.668  0.570
Cl  0.666  0.332  0.430

Properties
Space-group type: Cmcm
Calculated volume: 30.79 Å³ per atom
Energy above the most stable polymorph in this dataset: 0.0 meV per atom

Number 1: total energy -3.808 eV per atom, raw formation energy -0.021 eV/atom. Number 2: total energy -4.143 eV per atom, raw formation energy 0.348 eV/atom. Number 3: total energy -3.904 eV per atom, raw formation energy 0.586 eV/atom. Number 4: total energy -4.488 eV per atom, raw formation energy -1.233 eV/atom. Number 5: total energy -2.670 eV per atom, raw formation energy -0.591 eV/atom. Number 6: total energy -4.669 eV per atom, raw formation energy -2.140 eV/atom.